Compound: AcDySe2
Source: Alexandria
Functional: PBE
Structure: optimized geometry

Cell lengths 5.2434, 5.2434, 5.2434 Å; angles 60.00, 60.00, 60.00 degrees
Element x y z (fractional)
Ac  0.0000  0.0000  0.0000
Dy  0.5000  0.5000  0.5000
Se  0.2500  0.2500  0.2500
Se  0.7500  0.7500  0.7500

## Properties
- Distance to the lowest polymorph of the same formula: 0.283 eV per atom
- Volume: 25.483 Å³ per atom
- Energy relative to the elements, uncorrected: -1518 meV/atom